# Tl2TcAs | the Alexandria database | GGA-PBE | relaxed
# * ΔH_f (0 K): 0.833 eV/atom
# * SG: I-42d, No. 122
data_Tl2TcAs
_chemical_formula_sum 'Tl4 Tc2 As2'
_cell_length_a 8.022
_cell_length_b 8.022
_cell_length_c 6.379
_cell_angle_alpha 51.04
_cell_angle_beta 51.04
_cell_angle_gamma 90.00
_symmetry_space_group_name_H-M 'P 1'
_symmetry_Int_Tables_number 1
loop_
_symmetry_equiv_pos_as_xyz
'x,y,z'
loop_
_atom_site_label
_atom_site_type_symbol
_atom_site_fract_x
_atom_site_fract_y
_atom_site_fract_z
As1 As 0.250 0.750 0.500
As2 As 0.500 0.500 0.000
Tc1 Tc 0.750 0.250 0.500
Tc2 Tc 0.000 0.000 0.000
Tl1 Tl 0.875 0.881 0.750
Tl2 Tl 0.631 0.125 0.250
Tl3 Tl 0.119 0.625 0.250
Tl4 Tl 0.375 0.369 0.750

# Nd11Cd4In9 | the Alexandria database | GGA-PBE | relaxed
# * ΔH_f (0 K): -0.408 eV/atom
# * SG: Cmmm, No. 65
data_Nd11Cd4In9
_chemical_formula_sum 'Nd11 Cd4 In9'
_cell_length_a 3.863
_cell_length_b 13.879
_cell_length_c 13.879
_cell_angle_alpha 112.83
_cell_angle_beta 90.00
_cell_angle_gamma 90.00
_symmetry_space_group_name_H-M 'P 1'
_symmetry_Int_Tables_number 1
loop_
_symmetry_equiv_pos_as_xyz
'x,y,z'
loop_
_atom_site_label
_atom_site_type_symbol
_atom_site_fract_x
_atom_site_fract_y
_atom_site_fract_z
Nd1 Nd 0.000 0.590 0.943
Nd2 Nd 0.000 0.362 0.638
Nd3 Nd 0.000 0.410 0.057
Nd4 Nd 0.000 0.163 0.837
Nd5 Nd 0.000 0.943 0.590
Nd6 Nd 0.000 0.837 0.163
Nd7 Nd 0.000 0.638 0.362
Nd8 Nd 0.000 0.057 0.410
Nd9 Nd 0.000 0.718 0.718
Nd10 Nd 0.000 0.282 0.282
Nd11 Nd 0.000 0.000 0.000
In1 In 0.500 0.631 0.158
In2 In 0.500 0.500 0.500
In3 In 0.500 0.158 0.631
In4 In 0.500 0.939 0.787
In5 In 0.500 0.213 0.061
In6 In 0.500 0.842 0.369
In7 In 0.500 0.787 0.939
In8 In 0.500 0.369 0.842
In9 In 0.500 0.061 0.213
Cd1 Cd 0.500 0.251 0.447
Cd2 Cd 0.500 0.553 0.749
Cd3 Cd 0.500 0.447 0.251
Cd4 Cd 0.500 0.749 0.553

# PmMgBeZn | the Alexandria database | GGA-PBE | relaxed
# * ΔH_f (0 K): -0.096 eV/atom
# * SG: F-43m, No. 216
data_PmMgBeZn
_chemical_formula_sum 'Pm1 Mg1 Be1 Zn1'
_cell_length_a 4.787
_cell_length_b 4.787
_cell_length_c 4.787
_cell_angle_alpha 60.00
_cell_angle_beta 60.00
_cell_angle_gamma 60.00
_symmetry_space_group_name_H-M 'P 1'
_symmetry_Int_Tables_number 1
loop_
_symmetry_equiv_pos_as_xyz
'x,y,z'
loop_
_atom_site_label
_atom_site_type_symbol
_atom_site_fract_x
_atom_site_fract_y
_atom_site_fract_z
Be1 Be 0.250 0.250 0.250
Mg1 Mg 0.000 0.000 0.000
Zn1 Zn 0.750 0.750 0.750
Pm1 Pm 0.500 0.500 0.500

# Ti6CuO4 | the Alexandria database | GGA-PBE | relaxed
# * ΔE_f (raw): -1.824 eV per atom
# * SG: Cmcm, No. 63
data_Ti6CuO4
_chemical_formula_sum 'Ti12 Cu2 O8'
_cell_length_a 3.021
_cell_length_b 5.410
_cell_length_c 15.819
_cell_angle_alpha 90.00
_cell_angle_beta 90.00
_cell_angle_gamma 106.21
_symmetry_space_group_name_H-M 'P 1'
_symmetry_Int_Tables_number 1
loop_
_symmetry_equiv_pos_as_xyz
'x,y,z'
loop_
_atom_site_label
_atom_site_type_symbol
_atom_site_fract_x
_atom_site_fract_y
_atom_site_fract_z
Ti1 Ti 0.345 0.690 0.250
Ti2 Ti 0.755 0.510 0.095
Ti3 Ti 0.027 0.053 0.148
Ti4 Ti 0.655 0.310 0.750
Ti5 Ti 0.245 0.490 0.905
Ti6 Ti 0.245 0.490 0.595
Ti7 Ti 0.027 0.053 0.352
Ti8 Ti 0.755 0.510 0.405
Ti9 Ti 0.500 0.000 0.500
Ti10 Ti 0.500 0.000 0.000
Ti11 Ti 0.973 0.947 0.648
Ti12 Ti 0.973 0.947 0.852
O1 O 0.854 0.707 0.966
O2 O 0.854 0.707 0.534
O3 O 0.392 0.784 0.118
O4 O 0.392 0.784 0.382
O5 O 0.608 0.216 0.882
O6 O 0.146 0.293 0.466
O7 O 0.608 0.216 0.618
O8 O 0.146 0.293 0.034
Cu1 Cu 0.354 0.707 0.750
Cu2 Cu 0.646 0.293 0.250

# ZrNb3Pt | the Alexandria database | GGA-PBE | relaxed
# * ΔH_f (0 K): 1.653 eV/atom
# * SG: Pm-3m, No. 221
data_ZrNb3Pt
_chemical_formula_sum 'Zr1 Nb3 Pt1'
_cell_length_a 4.812
_cell_length_b 4.812
_cell_length_c 4.812
_cell_angle_alpha 90.00
_cell_angle_beta 90.00
_cell_angle_gamma 90.00
_symmetry_space_group_name_H-M 'P 1'
_symmetry_Int_Tables_number 1
loop_
_symmetry_equiv_pos_as_xyz
'x,y,z'
loop_
_atom_site_label
_atom_site_type_symbol
_atom_site_fract_x
_atom_site_fract_y
_atom_site_fract_z
Pt1 Pt 0.500 0.500 0.500
Nb1 Nb 0.000 0.000 0.500
Nb2 Nb 0.000 0.500 0.000
Nb3 Nb 0.500 0.000 0.000
Zr1 Zr 0.000 0.000 0.000

# Pm3PuPb5 | the Alexandria database | GGA-PBE | relaxed
# * ΔH_f (0 K): -0.393 eV/atom
# * SG: P6_3/mcm, No. 193
data_Pm3PuPb5
_chemical_formula_sum 'Pm6 Pu2 Pb10'
_cell_length_a 6.480
_cell_length_b 9.747
_cell_length_c 9.747
_cell_angle_alpha 120.00
_cell_angle_beta 90.00
_cell_angle_gamma 90.00
_symmetry_space_group_name_H-M 'P 1'
_symmetry_Int_Tables_number 1
loop_
_symmetry_equiv_pos_as_xyz
'x,y,z'
loop_
_atom_site_label
_atom_site_type_symbol
_atom_site_fract_x
_atom_site_fract_y
_atom_site_fract_z
Pm1 Pm 0.750 0.000 0.376
Pm2 Pm 0.250 0.376 0.376
Pm3 Pm 0.750 0.376 0.000
Pm4 Pm 0.250 0.000 0.624
Pm5 Pm 0.750 0.624 0.624
Pm6 Pm 0.250 0.624 0.000
Pb1 Pb 0.500 0.667 0.333
Pb2 Pb 0.250 0.293 0.000
Pb3 Pb 0.500 0.333 0.667
Pb4 Pb 0.000 0.333 0.667
Pb5 Pb 0.000 0.667 0.333
Pb6 Pb 0.250 0.707 0.707
Pb7 Pb 0.750 0.000 0.707
Pb8 Pb 0.250 0.000 0.293
Pb9 Pb 0.750 0.707 0.000
Pb10 Pb 0.750 0.293 0.293
Pu1 Pu 0.000 0.000 0.000
Pu2 Pu 0.500 0.000 0.000

# Sr2AlAgS4 | the Alexandria database | GGA-PBE | relaxed
# * ΔE_f (raw): -1.218 eV per atom
# * SG: Imma, No. 74
data_Sr2AlAgS4
_chemical_formula_sum 'Sr4 Al2 Ag2 S8'
_cell_length_a 7.938
_cell_length_b 7.938
_cell_length_c 8.180
_cell_angle_alpha 120.99
_cell_angle_beta 120.99
_cell_angle_gamma 88.38
_symmetry_space_group_name_H-M 'P 1'
_symmetry_Int_Tables_number 1
loop_
_symmetry_equiv_pos_as_xyz
'x,y,z'
loop_
_atom_site_label
_atom_site_type_symbol
_atom_site_fract_x
_atom_site_fract_y
_atom_site_fract_z
Ag1 Ag 0.000 0.500 0.500
Ag2 Ag 0.000 0.500 0.000
S1 S 0.242 0.258 0.469
S2 S 0.758 0.742 0.969
S3 S 0.791 0.225 0.008
S4 S 0.275 0.709 0.492
S5 S 0.242 0.258 0.031
S6 S 0.209 0.775 0.992
S7 S 0.725 0.291 0.508
S8 S 0.758 0.742 0.531
Al1 Al 0.500 0.500 0.500
Al2 Al 0.000 0.000 0.000
Sr1 Sr 0.000 0.000 0.500
Sr2 Sr 0.500 0.500 0.000
Sr3 Sr 0.500 0.000 0.000
Sr4 Sr 0.500 0.000 0.500